Entry 1:
Density functional theory data (GGA-PBE) for an optimized crystal structure of NdSm3Ge3.

The structure in POSCAR format:
```
NdSm3Ge3
1.0
-3.3100 2.8355 3.8883
-7.4082 -1.8058 -4.9894
2.6475 -5.8168 6.4955
Nd Ge Sm
2 6 6
Direct
0.7500 0.3333 0.6667 Nd
0.2500 0.6667 0.3333 Nd
0.2500 0.0045 0.3533 Ge
0.2500 0.6467 0.6511 Ge
0.7500 0.3533 0.3489 Ge
0.7500 0.9955 0.6467 Ge
0.2500 0.3489 0.9955 Ge
0.7500 0.6511 0.0045 Ge
0.7500 0.3250 0.0236 Sm
0.7500 0.9764 0.3015 Sm
0.2500 0.0236 0.6985 Sm
0.2500 0.3015 0.3250 Sm
0.2500 0.6750 0.9764 Sm
0.7500 0.6985 0.6750 Sm
```

energy relative to the elements = -4.09 eV/f.u.
calculated volume = 30.00 A^3/atom

***

Entry 2:
Density functional theory data (GGA-PBE) for an optimized crystal structure of NdSmGe4.

The structure in POSCAR format:
```
NdSmGe4
1.0
4.1244 0.0000 0.0000
0.0000 7.5352 0.0000
0.0000 0.0000 17.8700
Ge Nd Sm
16 4 4
Direct
0.5000 0.8279 0.1733 Ge
0.5000 0.4171 0.0646 Ge
0.5000 0.5744 0.4363 Ge
0.5000 0.4256 0.5637 Ge
0.5000 0.0058 0.7048 Ge
0.5000 0.1721 0.8267 Ge
0.5000 0.0829 0.5646 Ge
0.5000 0.5058 0.7952 Ge
0.5000 0.9942 0.2952 Ge
0.5000 0.4942 0.2048 Ge
0.5000 0.6721 0.6733 Ge
0.5000 0.9171 0.4354 Ge
0.5000 0.0744 0.0637 Ge
0.5000 0.9256 0.9363 Ge
0.5000 0.5829 0.9354 Ge
0.5000 0.3279 0.3267 Ge
0.0000 0.6805 0.3108 Nd
0.0000 0.3195 0.6892 Nd
0.0000 0.8195 0.8108 Nd
0.0000 0.1805 0.1892 Nd
0.0000 0.2624 0.9479 Sm
0.0000 0.7376 0.0521 Sm
0.0000 0.7624 0.5521 Sm
0.0000 0.2376 0.4479 Sm
```

energy relative to the elements = -3.49 eV/f.u.
calculated volume = 23.14 A^3/atom
energy relative to the lowest polymorph listed for this composition = 0 meV per atom

***

Entry 3:
Density functional theory data (GGA-PBE) for an optimized crystal structure of Nd3Sm3Ge4.

The structure in POSCAR format:
```
Nd3Sm3Ge4
1.0
4.2795 0.0000 0.0000
0.0000 7.8847 0.0468
0.0000 0.1162 7.8840
Ge Nd Sm
4 3 3
Direct
0.0000 0.6216 0.3784 Ge
0.0000 0.1227 0.1262 Ge
0.0000 0.3817 0.6183 Ge
0.0000 0.8738 0.8773 Ge
0.0000 0.4991 0.9997 Nd
0.5000 0.1726 0.8274 Nd
0.0000 0.0003 0.5009 Nd
0.5000 0.3287 0.3274 Sm
0.5000 0.6726 0.6713 Sm
0.5000 0.8269 0.1731 Sm
```

energy relative to the elements = -7.32 eV/f.u.
calculated volume = 26.60 A^3/atom

***

Entry 4:
Density functional theory data (GGA-PBE) for an optimized crystal structure of NdSm3Ge2.

The structure in POSCAR format:
```
NdSm3Ge2
1.0
4.4566 0.0000 0.0000
0.0000 4.4566 0.0000
0.0000 0.0000 8.3617
Sm Ge Nd
3 2 1
Direct
0.5000 0.0000 0.3583 Sm
0.0000 0.0000 0.0000 Sm
0.0000 0.5000 0.6417 Sm
0.5000 0.0000 0.7202 Ge
0.0000 0.5000 0.2798 Ge
0.5000 0.5000 0.0000 Nd
```

energy relative to the elements = -3.41 eV/f.u.
calculated volume = 27.68 A^3/atom
energy relative to the lowest polymorph listed for this composition = 3 meV per atom

***

Density of states at the Fermi level values (in states/eV/cell) by entry order: 2.7 9.8 10.4 7.5.